1.
# CeGaAu4 (PBE, optimized geometry)
# E above lowest polymorph, meV/atom: 0.0
data_CeGaAu4
_symmetry_space_group_name_H-M 'P 1'
_symmetry_Int_Tables_number 1
_cell_length_a 6.2551
_cell_length_b 6.2551
_cell_length_c 7.8225
_cell_angle_alpha 71.12
_cell_angle_beta 71.12
_cell_angle_gamma 63.37
loop_
_symmetry_equiv_pos_as_xyz
'x,y,z'
loop_
_atom_site_label
_atom_site_fract_x
_atom_site_fract_y
_atom_site_fract_z
Au1 0.7604 0.7604 0.2340
Au2 0.2396 0.2396 0.7660
Au3 0.2187 0.7813 0.0000
Au4 0.7813 0.2187 0.0000
Au5 0.6772 0.1131 0.4301
Au6 0.3228 0.8869 0.5699
Au7 0.1131 0.6772 0.4301
Au8 0.8869 0.3228 0.5699
Ga1 0.4660 0.4660 0.7836
Ga2 0.5340 0.5340 0.2164
Ce1 0.2139 0.2139 0.1873
Ce2 0.7861 0.7861 0.8127

---

2.
Density functional theory data (PBE) for a relaxed CeGaAu crystal.

The structure in CIF format:
```
data_CeGaAu
_symmetry_space_group_name_H-M 'P 1'
_symmetry_Int_Tables_number 1
_cell_length_a 6.4285
_cell_length_b 6.4285
_cell_length_c 11.9651
_cell_angle_alpha 90.00
_cell_angle_beta 90.00
_cell_angle_gamma 120.00
loop_
_symmetry_equiv_pos_as_xyz
'x,y,z'
loop_
_atom_site_label
_atom_site_fract_x
_atom_site_fract_y
_atom_site_fract_z
Ga1 0.5000 0.0000 0.3704
Ga2 0.5000 0.5000 0.2963
Ga3 0.0000 0.5000 0.6296
Ga4 0.5000 0.5000 0.7037
Ga5 0.5000 0.0000 0.9630
Ga6 0.0000 0.5000 0.0370
Ce1 0.5000 0.5000 0.0000
Ce2 0.0000 0.0000 0.1667
Ce3 0.0000 0.0000 0.8333
Ce4 0.5000 0.0000 0.6667
Ce5 0.0000 0.5000 0.3333
Ce6 0.0000 0.0000 0.5000
Au1 0.7573 0.3786 0.8333
Au2 0.6214 0.2427 0.1667
Au3 0.2427 0.6214 0.8333
Au4 0.6214 0.3786 0.5000
Au5 0.3786 0.6214 0.5000
Au6 0.3786 0.7573 0.1667
```

---

3.
# CeGa2Au4 (PBE, optimized geometry)
# E above lowest polymorph, meV/atom: 0.0
data_CeGa2Au4
_symmetry_space_group_name_H-M 'P 1'
_symmetry_Int_Tables_number 1
_cell_length_a 4.6035
_cell_length_b 6.7936
_cell_length_c 17.8171
_cell_angle_alpha 90.00
_cell_angle_beta 90.00
_cell_angle_gamma 90.00
loop_
_symmetry_equiv_pos_as_xyz
'x,y,z'
loop_
_atom_site_label
_atom_site_fract_x
_atom_site_fract_y
_atom_site_fract_z
Au1 0.2500 0.3000 0.0360
Au2 0.2500 0.2303 0.1942
Au3 0.7500 0.7303 0.3058
Au4 0.7500 0.3153 0.3225
Au5 0.2500 0.6847 0.6775
Au6 0.2500 0.8153 0.1775
Au7 0.7500 0.7697 0.8058
Au8 0.2500 0.2697 0.6942
Au9 0.2500 0.9856 0.9246
Au10 0.2500 0.5144 0.4246
Au11 0.7500 0.0144 0.0754
Au12 0.7500 0.8000 0.4640
Au13 0.7500 0.7000 0.9640
Au14 0.7500 0.4856 0.5754
Au15 0.7500 0.1847 0.8225
Au16 0.2500 0.2000 0.5360
Ga1 0.7500 0.4675 0.7214
Ga2 0.2500 0.7218 0.0366
Ga3 0.2500 0.5325 0.2786
Ga4 0.7500 0.0325 0.2214
Ga5 0.7500 0.2218 0.4634
Ga6 0.2500 0.7782 0.5366
Ga7 0.7500 0.2782 0.9634
Ga8 0.2500 0.9675 0.7786
Ce1 0.7500 0.5096 0.1364
Ce2 0.2500 0.0096 0.3636
Ce3 0.2500 0.4904 0.8636
Ce4 0.7500 0.9904 0.6364

---

4.
# CeGaAu4 (PBE, optimized geometry)
# E above lowest polymorph, meV/atom: 86.3
data_CeGaAu4
_symmetry_space_group_name_H-M 'P 1'
_symmetry_Int_Tables_number 1
_cell_length_a 5.6314
_cell_length_b 5.6314
_cell_length_c 5.6314
_cell_angle_alpha 60.00
_cell_angle_beta 60.00
_cell_angle_gamma 60.00
loop_
_symmetry_equiv_pos_as_xyz
'x,y,z'
loop_
_atom_site_label
_atom_site_fract_x
_atom_site_fract_y
_atom_site_fract_z
Au1 0.6254 0.1237 0.6254
Au2 0.6254 0.6254 0.6254
Au3 0.1237 0.6254 0.6254
Au4 0.6254 0.6254 0.1237
Ga1 0.0000 0.0000 0.0000
Ce1 0.2500 0.2500 0.2500

---

5.
Density functional theory data (PBE) for a relaxed Ce5GaAu crystal.

The structure in CIF format:
```
data_Ce5GaAu
_symmetry_space_group_name_H-M 'P 1'
_symmetry_Int_Tables_number 1
_cell_length_a 5.8074
_cell_length_b 5.8074
_cell_length_c 11.4591
_cell_angle_alpha 77.08
_cell_angle_beta 77.08
_cell_angle_gamma 83.03
loop_
_symmetry_equiv_pos_as_xyz
'x,y,z'
loop_
_atom_site_label
_atom_site_fract_x
_atom_site_fract_y
_atom_site_fract_z
Ce1 0.8921 0.5361 0.1675
Ce2 0.0575 0.9425 0.7500
Ce3 0.4890 0.2136 0.0724
Ce4 0.2136 0.4890 0.5724
Ce5 0.9425 0.0575 0.2500
Ce6 0.5110 0.7864 0.9276
Ce7 0.4639 0.1079 0.3325
Ce8 0.5361 0.8921 0.6675
Ce9 0.7864 0.5110 0.4276
Ce10 0.1079 0.4639 0.8325
Ga1 0.6444 0.3556 0.7500
Ga2 0.3556 0.6444 0.2500
Au1 0.0000 0.0000 0.0000
Au2 0.0000 0.0000 0.5000
```

---

6.
# Ce2GaAu3 (PBE, optimized geometry)
# E above lowest polymorph, meV/atom: 0.0
data_Ce2GaAu3
_symmetry_space_group_name_H-M 'P 1'
_symmetry_Int_Tables_number 1
_cell_length_a 3.4813
_cell_length_b 4.6923
_cell_length_c 8.2175
_cell_angle_alpha 90.00
_cell_angle_beta 90.00
_cell_angle_gamma 90.00
loop_
_symmetry_equiv_pos_as_xyz
'x,y,z'
loop_
_atom_site_label
_atom_site_fract_x
_atom_site_fract_y
_atom_site_fract_z
Au1 0.5000 0.5000 0.6512
Au2 0.5000 0.0000 0.8392
Au3 0.5000 0.0000 0.1804
Ce1 0.0000 0.0000 0.5067
Ce2 0.0000 0.5000 0.9941
Ga1 0.5000 0.5000 0.3283

---

7.
Density functional theory data (PBE) for a relaxed Ce3Ga6Au5 crystal.

The structure in CIF format:
```
data_Ce3Ga6Au5
_symmetry_space_group_name_H-M 'P 1'
_symmetry_Int_Tables_number 1
_cell_length_a 4.5491
_cell_length_b 9.3179
_cell_length_c 13.4228
_cell_angle_alpha 90.00
_cell_angle_beta 90.00
_cell_angle_gamma 90.00
loop_
_symmetry_equiv_pos_as_xyz
'x,y,z'
loop_
_atom_site_label
_atom_site_fract_x
_atom_site_fract_y
_atom_site_fract_z
Ga1 0.5000 0.0326 0.6516
Ga2 0.0000 0.6130 0.3383
Ga3 0.5000 0.9362 0.0000
Ga4 0.0000 0.0638 0.5000
Ga5 0.0000 0.9674 0.8484
Ga6 0.5000 0.3870 0.1617
Ga7 0.0000 0.4431 0.5000
Ga8 0.5000 0.0326 0.3484
Ga9 0.5000 0.5569 0.0000
Ga10 0.0000 0.6130 0.6617
Ga11 0.0000 0.9674 0.1516
Ga12 0.5000 0.3870 0.8383
Au1 0.5000 0.1124 0.8478
Au2 0.5000 0.1124 0.1522
Au3 0.0000 0.5248 0.1391
Au4 0.5000 0.4752 0.6391
Au5 0.5000 0.4752 0.3609
Au6 0.0000 0.8876 0.6522
Au7 0.0000 0.8876 0.3478
Au8 0.0000 0.5248 0.8609
Au9 0.5000 0.2301 0.5000
Au10 0.0000 0.7699 0.0000
Ce1 0.0000 0.2492 0.0000
Ce2 0.5000 0.7472 0.7988
Ce3 0.0000 0.2528 0.2988
Ce4 0.5000 0.7508 0.5000
Ce5 0.0000 0.2528 0.7012
Ce6 0.5000 0.7472 0.2012
```

---

8.
# CeGa3Au3 (PBE, optimized geometry)
# E above lowest polymorph, meV/atom: 0.0
data_CeGa3Au3
_symmetry_space_group_name_H-M 'P 1'
_symmetry_Int_Tables_number 1
_cell_length_a 4.6609
_cell_length_b 9.6232
_cell_length_c 6.8178
_cell_angle_alpha 114.66
_cell_angle_beta 90.00
_cell_angle_gamma 90.00
loop_
_symmetry_equiv_pos_as_xyz
'x,y,z'
loop_
_atom_site_label
_atom_site_fract_x
_atom_site_fract_y
_atom_site_fract_z
Ga1 0.2500 0.8642 0.8871
Ga2 0.2500 0.3375 0.3350
Ga3 0.7500 0.6625 0.6650
Ga4 0.7500 0.9142 0.2865
Ga5 0.2500 0.0858 0.7135
Ga6 0.7500 0.1358 0.1129
Ce1 0.7500 0.2859 0.6369
Ce2 0.2500 0.7141 0.3631
Au1 0.7500 0.6218 0.0296
Au2 0.2500 0.3782 0.9704
Au3 0.7500 0.9504 0.7041
Au4 0.7500 0.4417 0.2678
Au5 0.2500 0.0496 0.2959
Au6 0.2500 0.5583 0.7322

---

The calculation returns the following calculated total energy values, one per record and in order: -4.106, -4.443, -4.050, -4.020, -5.333, -4.831, -4.327, -4.048 eV per atom.
The calculation returns the following formation energy values, one per record and in order: -428, -364, -464, -342, -194, -710, -588, -499 meV/atom.